(1)
First-principles (PBE) data for a relaxed SrCaGeAs2 crystal, as listed in Alexandria.

```
10
Lattice="-5.375 0.966 -2.065 2.459 -1.235 -6.978 -2.180 -5.355 3.170" Properties=species:S:1:pos:R:3 pbc="T T T"
As -4.554 -3.140 -1.637
As -4.086 -4.722 -3.593
As -1.010 -0.903 -2.280
As -0.543 -2.485 -4.236
Sr -3.473 -1.209 -4.294
Sr -1.624 -4.415 -1.579
Ge 0.000 0.000 0.000
Ge -1.090 -2.678 1.585
Ca -4.347 -3.529 1.336
Ca -3.209 -0.860 -0.231
```

ΔE_f	-659	meV per atom
final energy	-4.179	eV/atom
crystal system	monoclinic
space-group type	No. 13


(2)
First-principles (PBE) data for a relaxed ZnPt2I8 crystal, as listed in Alexandria.

```
11
Lattice="-1.813 5.510 -7.285 -3.839 -5.396 2.826 -1.948 8.543 6.945" Properties=species:S:1:pos:R:3 pbc="T T T"
I -2.182 5.768 -4.634
I -3.990 1.622 2.219
I -4.981 4.157 -1.569
I -1.090 2.447 -0.242
I -2.618 4.499 4.054
I -6.509 6.209 2.728
I -3.610 7.034 0.266
I -5.417 2.888 7.119
Zn 0.000 0.000 0.000
Pt -1.593 2.705 2.442
Pt -6.006 5.951 0.043
```

raw formation energy	-0.1091	eV per atom
final energy	-2.451	eV/atom
crystal system	monoclinic
space-group type	No. 12


(3)
First-principles (PBE) data for a relaxed Tl5Mo3 crystal, as listed in Alexandria.

```
8
Lattice="4.944 -5.919 0.000 4.944 5.919 0.000 0.000 0.000 3.256" Properties=species:S:1:pos:R:3 pbc="T T T"
Tl 0.000 0.000 0.000
Tl 2.472 -2.960 0.000
Tl 2.472 2.960 0.000
Tl 2.576 0.000 1.628
Tl 7.313 0.000 1.628
Mo 4.944 2.081 1.628
Mo 4.944 0.000 0.000
Mo 4.944 -2.081 1.628
```

ΔE_f	717	meV per atom
final energy	-4.823	eV/atom
crystal system	orthorhombic
space-group type	No. 65


(4)
First-principles (PBE) data for a relaxed K2YOs crystal, as listed in Alexandria.

```
4
Lattice="3.044 0.000 0.000 0.000 6.198 0.000 0.000 0.000 5.874" Properties=species:S:1:pos:R:3 pbc="T T T"
K 0.000 0.000 0.088
K 0.000 0.000 2.850
Os 1.522 3.099 1.469
Y 1.522 3.099 4.406
```

ΔE_f	1173	meV per atom
final energy	-3.799	eV/atom
crystal system	orthorhombic
excess energy over the best structure of this formula in the dataset	64.8	kJ/mol of atoms
space-group type	No. 47


(5)
First-principles (PBE) data for a relaxed Cd4InPt crystal, as listed in Alexandria.

```
6
Lattice="3.878 -3.629 -1.961 1.587 -4.426 3.154 -1.530 -5.240 -1.502" Properties=species:S:1:pos:R:3 pbc="T T T"
Cd 2.270 -7.201 1.469
Cd 3.422 -6.801 -1.101
Cd 1.473 -4.977 -0.116
Cd 0.704 -7.610 -0.870
Pt 0.000 0.000 0.000
In 2.951 -9.971 -0.232
```

ΔE_f	128	meV per atom
final energy	-1.945	eV/atom
crystal system	cubic
space-group type	No. 216


Computed magnetization, in the same sequence as the records: 0.0; 0.0; 0.9; 1.2; 0.0 μB/cell.